No. 1
# ThPa2Cd

An optimized crystal structure of ThPa2Cd (GGA-PBE, Alexandria via LeMat-Bulk).

Cell: 7.5014 7.5014 7.5014 Å, 90.00 90.00 90.00°
With the nearest neighbours (Å) after each atom.
Space group Fm-3m (No. 225)
Inequivalent atoms, fractional coordinates:
Th 0.0000 0.0000 0.0000 [4 per cell]  8 Pa 3.25
Pa 0.2500 0.2500 0.2500 [8 per cell]  4 Cd 3.25, 4 Th 3.25
Cd 0.0000 0.0000 0.5000 [4 per cell]  8 Pa 3.25

Summary:
Energy above the lowest structure with this stoichiometry, meV/atom: 183


No. 2
# PaTi2Cd

An optimized crystal structure of PaTi2Cd (GGA-PBE, Alexandria via LeMat-Bulk).

Cell: 3.4306 3.4306 6.7146 Å, 90.00 90.00 90.00°
With the nearest neighbours (Å) after each atom.
Space group P4/mmm (No. 123)
Inequivalent atoms, fractional coordinates:
Pa 0.0000 0.0000 0.0000 [1 per cell]  8 Ti 2.86
Ti 0.5000 0.5000 0.2257 [2 per cell]  4 Pa 2.86, 1 Ti 3.03, 4 Cd 3.05
Cd 0.0000 0.0000 0.5000 [1 per cell]  8 Ti 3.05, 2 Pa 3.36

Summary:
Energy above the lowest structure with this stoichiometry, meV/atom: 7


No. 3
# PaTi2Cd

An optimized crystal structure of PaTi2Cd (GGA-PBE, Alexandria via LeMat-Bulk).

Cell: 4.9553 4.9553 3.1907 Å, 90.00 90.00 90.00°
With the nearest neighbours (Å) after each atom.
Space group P4/mmm (No. 123)
Inequivalent atoms, fractional coordinates:
Pa 0.0000 0.0000 0.0000 [1 per cell]  8 Ti 2.95, 2 Pa 3.19
Ti 0.0000 0.5000 0.5000 [2 per cell]  4 Cd 2.95, 4 Pa 2.95, 2 Ti 3.19
Cd 0.5000 0.5000 0.0000 [1 per cell]  8 Ti 2.95, 2 Cd 3.19

Summary:
Energy above the lowest structure with this stoichiometry, meV/atom: 0


No. 4
# PaTlCd2

An optimized crystal structure of PaTlCd2 (GGA-PBE, Alexandria via LeMat-Bulk).

Cell: 4.5878 4.5878 4.8127 Å, 90.00 90.00 90.00°
With the nearest neighbours (Å) after each atom.
Space group P4/mmm (No. 123)
Inequivalent atoms, fractional coordinates:
Pa 0.0000 0.0000 0.0000 [1 per cell]  4 Tl 3.24, 8 Cd 3.32
Tl 0.5000 0.5000 0.0000 [1 per cell]  4 Pa 3.24, 8 Cd 3.32
Cd 0.0000 0.5000 0.5000 [2 per cell]  4 Cd 3.24, 4 Tl 3.32, 4 Pa 3.32

Summary:
Energy above the lowest structure with this stoichiometry, meV/atom: 22


No. 5
# PaTl2Cd

An optimized crystal structure of PaTl2Cd (GGA-PBE, Alexandria via LeMat-Bulk).

Cell: 3.2474 3.2474 36.1562 Å, 90.00 90.00 120.00°
With the nearest neighbours (Å) after each atom.
Space group R-3m (No. 166, hexagonal axes)
Inequivalent atoms, fractional coordinates:
Pa 0.0000 0.0000 0.0000 [3 per cell]  6 Pa 3.25, 2 Tl 3.27
Tl 0.0000 0.0000 0.0903 [6 per cell]  6 Tl 3.25, 1 Pa 3.27, 3 Cd 3.34
Cd 0.0000 0.0000 0.5000 [3 per cell]  6 Cd 3.25, 6 Tl 3.34

Summary:
Energy above the lowest structure with this stoichiometry, meV/atom: 202


No. 6
# PaTl2Cd

An optimized crystal structure of PaTl2Cd (GGA-PBE, Alexandria via LeMat-Bulk).

Cell: 7.4605 7.4605 7.4605 Å, 90.00 90.00 90.00°
With the nearest neighbours (Å) after each atom.
Space group Fm-3m (No. 225)
Inequivalent atoms, fractional coordinates:
Pa 0.0000 0.0000 0.0000 [4 per cell]  8 Tl 3.23
Tl 0.2500 0.2500 0.2500 [8 per cell]  4 Cd 3.23, 4 Pa 3.23
Cd 0.0000 0.0000 0.5000 [4 per cell]  8 Tl 3.23

Summary:
Energy above the lowest structure with this stoichiometry, meV/atom: 127


For reference, calculated volume by record: 26.38 19.76 19.59 25.32 27.52 25.95 Å³/atom.
For reference, E_form by record: 0.36 0.08 0.08 0.16 0.32 0.24 eV per atom.